First-principles (PBE-GGA) data for GaSCl2 after structural relaxation, as listed in the Alexandria database.

The space group is Fm-3m (No. 225) and the conventional cell measures 7.185, 7.185 and 7.185 Å, with angles of 90.00, 90.00 and 90.00 degrees. Symmetry generates all atoms from Ga at (0.000, 0.000, 0.000), S at (0.000, 0.000, 0.500) and Cl at (0.250, 0.250, 0.250).

The energy relative to the elements, uncorrected comes out at 299 meV per atom. Its energy above the most stable polymorph in this dataset is 485.2 meV per atom. The total energy comes out at -38.61 eV for the cell shown.


First-principles (PBE-GGA) data for CsCd2GaSb after structural relaxation, as listed in the Alexandria database.

The space group is P4/mmm (No. 123) and the conventional cell measures 5.708, 5.708 and 5.478 Å, with angles of 90.00, 90.00 and 90.00 degrees. Symmetry generates all atoms from Cs at (0.000, 0.000, 0.000), Cd at (0.000, 0.500, 0.500), Ga at (0.500, 0.500, 0.500) and Sb at (0.500, 0.500, 0.000).

The energy relative to the elements, uncorrected comes out at 51 meV per atom. The total energy comes out at -9.58 eV for the cell shown.


Results for magnetization: 2.91; 0.00 (in μB per formula unit, following the order of the records).